DFT (PBE) results for CePr8Dy6 after structural relaxation. Values from VASP.

The structure in Quantum ESPRESSO input format:
```
&SYSTEM
  ibrav = 0, nat = 15, ntyp = 3
/
ATOMIC_SPECIES
Pr 140.91 Pr.upf
Dy 162.50 Dy.upf
Ce 140.12 Ce.upf
CELL_PARAMETERS angstrom
-8.246 -2.783 -1.262
-5.298 -0.119 7.018
-6.360 6.066 0.313
ATOMIC_POSITIONS angstrom
Pr -10.342 -1.035 0.969
Pr -8.493 0.961 5.992
Pr -11.511 1.829 3.510
Pr -9.563 4.198 5.100
Pr -10.642 -1.375 4.463
Pr -8.393 1.334 2.559
Pr -11.411 2.202 0.077
Pr -9.262 4.539 1.605
Dy -5.215 1.176 3.735
Dy -6.359 -0.950 1.091
Dy -14.689 1.988 2.333
Dy -13.930 0.600 5.545
Dy -13.545 4.114 4.977
Dy -5.974 2.564 0.524
Ce 0.000 0.000 0.000
```

* density of states at the Fermi level: 25.6 states/eV/f.u.
* formation energy from the elements: 1.9 eV per formula unit
* energy: -0.17118 hartree per atom

=====

DFT (PBE) results for PmSm2Cd3 after structural relaxation. Values from VASP.

The structure in Quantum ESPRESSO input format:
```
&SYSTEM
  ibrav = 0, nat = 12, ntyp = 3
/
ATOMIC_SPECIES
Cd 112.41 Cd.upf
Pm 145.00 Pm.upf
Sm 150.36 Sm.upf
CELL_PARAMETERS angstrom
5.404 0.000 0.000
-2.702 4.680 0.000
0.000 0.000 13.223
ATOMIC_POSITIONS angstrom
Cd 0.000 3.120 12.130
Cd 0.000 0.000 3.296
Cd 2.702 1.560 1.093
Cd 0.000 0.000 9.927
Cd 0.000 3.120 5.509
Cd 2.702 1.560 7.714
Pm 2.702 1.560 4.406
Pm 0.000 3.120 8.817
Sm 0.000 0.000 6.611
Sm 0.000 3.120 2.199
Sm 0.000 0.000 0.000
Sm 2.702 1.560 11.024
```

* density of states at the Fermi level: 6.7 states/eV/f.u.
* formation energy from the elements: -1.9 eV per formula unit
* energy: -0.11545 hartree per atom

=====

DFT (PBE) results for LiAcGdSb after structural relaxation. Values from VASP.

The structure in Quantum ESPRESSO input format:
```
&SYSTEM
  ibrav = 0, nat = 4, ntyp = 4
/
ATOMIC_SPECIES
Gd 157.25 Gd.upf
Li 6.94 Li.upf
Sb 121.76 Sb.upf
Ac 227.00 Ac.upf
CELL_PARAMETERS angstrom
-0.570 -4.818 -2.613
4.372 -3.276 -0.724
0.400 -4.723 2.811
ATOMIC_POSITIONS angstrom
Gd 3.151 -9.613 -0.395
Li 0.000 0.000 0.000
Sb 2.101 -6.409 -0.263
Ac 1.050 -3.204 -0.132
```

* density of states at the Fermi level: 6.2 states/eV/f.u.
* raw formation energy: -411 meV/atom
* energy: -0.23765 hartree per atom

=====

DFT (PBE) results for Ti5P after structural relaxation. Values from VASP.

The structure in Quantum ESPRESSO input format:
```
&SYSTEM
  ibrav = 0, nat = 6, ntyp = 2
/
ATOMIC_SPECIES
Ti 47.87 Ti.upf
P 30.97 P.upf
CELL_PARAMETERS angstrom
-0.831 -3.325 1.453
3.576 -0.208 1.569
-3.973 2.995 4.581
ATOMIC_POSITIONS angstrom
Ti 1.070 0.847 2.548
Ti -1.087 -0.773 2.377
Ti -0.140 0.236 5.226
Ti 1.373 -1.766 1.511
Ti -1.467 1.941 3.601
P 0.000 0.000 0.000
```

* density of states at the Fermi level: 8.2 states/eV/f.u.
* formation energy from the elements: -2.1 eV per formula unit
* energy: -0.28761 hartree per atom